(1)
DFT (PBE-GGA) results for a relaxed Ce2VH6 crystal.

```
data_Ce2VH6
_cell_length_a 5.1286
_cell_length_b 5.1286
_cell_length_c 5.1286
_cell_angle_alpha 60.00
_cell_angle_beta 60.00
_cell_angle_gamma 60.00
_space_group_name_H-M_alt 'P 1'
_space_group_IT_number 1
_space_group_name_Hall 'P 1'
loop_
_atom_site_label
_atom_site_type_symbol
_atom_site_fract_x
_atom_site_fract_y
_atom_site_fract_z
H1 H 0.2496 0.7504 0.2496
H2 H 0.7504 0.2496 0.7504
Ce1 Ce 0.2500 0.2500 0.2500
Ce2 Ce 0.7500 0.7500 0.7500
H3 H 0.7504 0.7504 0.2496
V1 V 0.0000 0.0000 0.0000
H4 H 0.2496 0.2496 0.7504
H5 H 0.2496 0.7504 0.7504
H6 H 0.7504 0.2496 0.2496
```

The calculation puts the mass density at 5871 kg/m³. As for the space group: Fm-3m (225). As for the total energy: -4.957 eV/atom.

***

(2)
DFT (PBE-GGA) results for a relaxed Pr5YSc crystal.

```
data_Pr5YSc
_cell_length_a 5.4271
_cell_length_b 5.4271
_cell_length_c 8.5270
_cell_angle_alpha 90.00
_cell_angle_beta 90.00
_cell_angle_gamma 90.00
_space_group_name_H-M_alt 'P 1'
_space_group_IT_number 1
_space_group_name_Hall 'P 1'
loop_
_atom_site_label
_atom_site_type_symbol
_atom_site_fract_x
_atom_site_fract_y
_atom_site_fract_z
Pr1 Pr 0.5000 0.5000 0.0000
Pr2 Pr 0.0000 0.5000 0.7115
Pr3 Pr 0.5000 0.0000 0.2885
Sc1 Sc 0.0000 0.0000 0.5000
Pr4 Pr 0.0000 0.5000 0.2885
Y1 Y 0.0000 0.0000 0.0000
Pr5 Pr 0.5000 0.0000 0.7115
```

The calculation puts the mass density at 5543 kg/m³. The formation energy comes out at 0.23 eV per atom. As for the space group: P4/mmm (123). As for the total energy: -5.008 eV/atom. The polymorph energy (0 for the lowest one) is 41 meV per atom.

***

(3)
DFT (PBE-GGA) results for a relaxed LaTl3F crystal.

```
data_LaTl3F
_cell_length_a 5.1526
_cell_length_b 5.1526
_cell_length_c 5.1526
_cell_angle_alpha 90.00
_cell_angle_beta 90.00
_cell_angle_gamma 90.00
_space_group_name_H-M_alt 'P 1'
_space_group_IT_number 1
_space_group_name_Hall 'P 1'
loop_
_atom_site_label
_atom_site_type_symbol
_atom_site_fract_x
_atom_site_fract_y
_atom_site_fract_z
La1 La 0.5000 0.5000 0.5000
Tl1 Tl 0.0000 0.0000 0.5000
Tl2 Tl 0.0000 0.5000 0.0000
Tl3 Tl 0.5000 0.0000 0.0000
F1 F 0.0000 0.0000 0.0000
```

The calculation puts the mass density at 9360 kg/m³. The uncorrected formation energy comes out at -719 meV/atom. As for the space group: Pm-3m (221). As for the total energy: -3.499 eV/atom. The polymorph energy (0 for the lowest one) is 0 meV per atom.

***

(4)
DFT (PBE-GGA) results for a relaxed LiLaZn2Pb crystal.

```
data_LiLaZn2Pb
_cell_length_a 5.3342
_cell_length_b 4.8640
_cell_length_c 5.3342
_cell_angle_alpha 90.00
_cell_angle_beta 90.00
_cell_angle_gamma 90.00
_space_group_name_H-M_alt 'P 1'
_space_group_IT_number 1
_space_group_name_Hall 'P 1'
loop_
_atom_site_label
_atom_site_type_symbol
_atom_site_fract_x
_atom_site_fract_y
_atom_site_fract_z
Zn1 Zn 0.0000 0.0000 0.5000
Zn2 Zn 0.5000 0.0000 0.0000
Pb1 Pb 0.0000 0.0000 0.0000
Li1 Li 0.0000 0.5000 0.0000
La1 La 0.5000 0.5000 0.5000
```

The calculation puts the mass density at 5805 kg/m³. The formation energy comes out at 0.20 eV per atom. As for the space group: P4/mmm (123). As for the total energy: -2.420 eV/atom.

***

(5)
DFT (PBE-GGA) results for a relaxed CdBiF4 crystal.

```
data_CdBiF4
_cell_length_a 3.3542
_cell_length_b 4.6854
_cell_length_c 7.6316
_cell_angle_alpha 123.25
_cell_angle_beta 90.00
_cell_angle_gamma 90.00
_space_group_name_H-M_alt 'P 1'
_space_group_IT_number 1
_space_group_name_Hall 'P 1'
loop_
_atom_site_label
_atom_site_type_symbol
_atom_site_fract_x
_atom_site_fract_y
_atom_site_fract_z
F1 F 0.0000 0.4857 0.6986
F2 F 0.5000 0.8984 0.1641
Bi1 Bi 0.5000 0.0000 0.5000
F3 F 0.5000 0.1016 0.8359
Cd1 Cd 0.0000 0.0000 0.0000
F4 F 0.0000 0.5143 0.3014
```

The calculation puts the mass density at 6579 kg/m³. The uncorrected formation energy comes out at -1970 meV/atom. As for the space group: P2/m (10). As for the total energy: -4.016 eV/atom.

***

(6)
DFT (PBE-GGA) results for a relaxed CsRbAuF crystal.

```
data_CsRbAuF
_cell_length_a 5.7182
_cell_length_b 5.7182
_cell_length_c 5.7182
_cell_angle_alpha 60.00
_cell_angle_beta 60.00
_cell_angle_gamma 60.00
_space_group_name_H-M_alt 'P 1'
_space_group_IT_number 1
_space_group_name_Hall 'P 1'
loop_
_atom_site_label
_atom_site_type_symbol
_atom_site_fract_x
_atom_site_fract_y
_atom_site_fract_z
F1 F 0.0000 0.0000 0.0000
Cs1 Cs 0.2500 0.2500 0.2500
Rb1 Rb 0.7500 0.7500 0.7500
Au1 Au 0.5000 0.5000 0.5000
```

The calculation puts the mass density at 5455 kg/m³. The uncorrected formation energy comes out at -1273 meV/atom. As for the space group: F-43m (216). As for the total energy: -3.015 eV/atom. The polymorph energy (0 for the lowest one) is 165 meV per atom.

***

(7)
DFT (PBE-GGA) results for a relaxed K2CrHg crystal.

```
data_K2CrHg
_cell_length_a 11.6988
_cell_length_b 11.6988
_cell_length_c 11.6988
_cell_angle_alpha 19.16
_cell_angle_beta 19.16
_cell_angle_gamma 19.16
_space_group_name_H-M_alt 'P 1'
_space_group_IT_number 1
_space_group_name_Hall 'P 1'
loop_
_atom_site_label
_atom_site_type_symbol
_atom_site_fract_x
_atom_site_fract_y
_atom_site_fract_z
Cr1 Cr 0.2500 0.2500 0.2500
K1 K 0.5006 0.5006 0.5006
Hg1 Hg 0.7500 0.7500 0.7500
K2 K 0.9994 0.9994 0.9994
```

The calculation puts the mass density at 3642 kg/m³. The formation energy comes out at 0.62 eV per atom. As for the space group: R-3m (166). As for the total energy: -2.408 eV/atom.

***

(8)
DFT (PBE-GGA) results for a relaxed SrY2Be crystal.

```
data_SrY2Be
_cell_length_a 8.6733
_cell_length_b 8.6733
_cell_length_c 6.9603
_cell_angle_alpha 51.46
_cell_angle_beta 51.46
_cell_angle_gamma 90.00
_space_group_name_H-M_alt 'P 1'
_space_group_IT_number 1
_space_group_name_Hall 'P 1'
loop_
_atom_site_label
_atom_site_type_symbol
_atom_site_fract_x
_atom_site_fract_y
_atom_site_fract_z
Y1 Y 0.5497 0.1250 0.2500
Sr1 Sr 0.7500 0.2500 0.5000
Be1 Be 0.5000 0.5000 0.0000
Be2 Be 0.2500 0.7500 0.5000
Y2 Y 0.8750 0.7997 0.7500
Sr2 Sr 0.0000 0.0000 0.0000
Y3 Y 0.3750 0.4503 0.7500
Y4 Y 0.2003 0.6250 0.2500
```

The calculation puts the mass density at 3681 kg/m³. The formation energy comes out at 0.42 eV per atom. As for the space group: I-42d (122). As for the total energy: -4.167 eV/atom.